A plane-wave DFT calculation with PBE was carried out for crystalline SrAcSm at its relaxed geometry.

The value obtained for the distance to the lowest polymorph of the same formula is 0.17 eV per formula unit. As for the theoretical density: 6.1 Mg/m³. As for the spin magnetization: 0.0 Bohr magnetons per cell.

a b c (Å): 6.170 6.171 7.678
angles (deg): 90.00 90.00 60.00
Fractional positions:
1 Sr 0.628 0.979 0.790
2 Sr 0.962 0.312 0.792
3 Ac 0.296 0.645 0.522
4 Ac 0.295 0.646 0.060
5 Sm 0.629 0.978 0.290
6 Sm 0.962 0.311 0.291


A plane-wave DFT calculation with PBE was carried out for crystalline ZrFe2AgAs at its relaxed geometry.

As for the total energy: -5.514 eV per atom. As for the theoretical density: 6.1 Mg/m³. As for the spin magnetization: 4.9 Bohr magnetons per cell.

a b c (Å): 4.687 4.764 4.687
angles (deg): 90.00 90.00 90.00
Fractional positions:
1 As 0.000 0.500 0.000
2 Zr 0.500 0.500 0.500
3 Ag 0.000 0.000 0.000
4 Fe 0.000 0.000 0.500
5 Fe 0.500 0.000 0.000


A plane-wave DFT calculation with PBE was carried out for crystalline Al2CdI at its relaxed geometry.

The value obtained for the distance to the lowest polymorph of the same formula is 0.19 eV per formula unit. As for the theoretical density: 4.6 Mg/m³. As for the spin magnetization: 0.0 Bohr magnetons per cell. Its formation energy from raw total energies is 10.04 kcal/mol of atoms.

a b c (Å): 5.293 5.293 5.293
angles (deg): 60.00 60.00 60.00
Fractional positions:
1 I 0.500 0.500 0.500
2 Al 0.250 0.250 0.250
3 Al 0.750 0.750 0.750
4 Cd 0.000 0.000 0.000


A plane-wave DFT calculation with PBE was carried out for crystalline Y6MgZn5 at its relaxed geometry.

As for the total energy: -4.206 eV per atom. As for the theoretical density: 5.2 Mg/m³. As for the spin magnetization: 0.0 Bohr magnetons per cell.

a b c (Å): 5.096 7.269 8.840
angles (deg): 114.28 106.75 90.00
Fractional positions:
1 Y 0.829 0.574 0.658
2 Y 0.829 0.084 0.658
3 Y 0.500 0.738 0.000
4 Y 0.500 0.262 0.000
5 Y 0.171 0.916 0.342
6 Y 0.171 0.426 0.342
7 Mg 0.000 0.000 0.000
8 Zn 0.657 0.157 0.314
9 Zn 0.334 0.334 0.668
10 Zn 0.000 0.500 0.000
11 Zn 0.666 0.666 0.332
12 Zn 0.343 0.843 0.686


A plane-wave DFT calculation with PBE was carried out for crystalline ScNi12B4 at its relaxed geometry.

As for the total energy: -6.180 eV per atom. As for the theoretical density: 7.1 Mg/m³. As for the spin magnetization: 0.0 Bohr magnetons per cell.

a b c (Å): 6.209 6.209 6.209
angles (deg): 109.47 109.47 109.47
Fractional positions:
1 Sc 0.000 0.000 0.000
2 Ni 0.823 0.328 0.151
3 Ni 0.328 0.505 0.177
4 Ni 0.849 0.177 0.672
5 Ni 0.328 0.151 0.823
6 Ni 0.151 0.823 0.328
7 Ni 0.672 0.495 0.823
8 Ni 0.505 0.177 0.328
9 Ni 0.495 0.823 0.672
10 Ni 0.672 0.849 0.177
11 Ni 0.823 0.672 0.495
12 Ni 0.177 0.328 0.505
13 Ni 0.177 0.672 0.849
14 B 0.000 0.500 0.000
15 B 0.500 0.000 0.000
16 B 0.500 0.500 0.500
17 B 0.000 0.000 0.500


A plane-wave DFT calculation with PBE was carried out for crystalline BeNiMo2Rh at its relaxed geometry.

As for the total energy: -6.755 eV per atom. As for the theoretical density: 7.9 Mg/m³. As for the spin magnetization: 0.0 Bohr magnetons per cell.

a b c (Å): 4.472 3.816 4.472
angles (deg): 90.00 90.00 90.00
Fractional positions:
1 Ni 0.000 0.000 0.000
2 Mo 0.000 0.000 0.500
3 Mo 0.500 0.000 0.000
4 Rh 0.500 0.500 0.500
5 Be 0.000 0.500 0.000